CaPrIn2: optimized geometry, GGA-PBE.

Computed properties:
Formation energy ... -0.482 eV/atom
Symmetry ... No. 123

Unit cell a=5.066 b=5.066 c=4.516 alpha=90.00 beta=90.00 gamma=90.00
Fractional positions:
Ca1 0.000 0.000 0.000
Pr1 0.500 0.500 0.000
In1 0.000 0.500 0.500
In2 0.500 0.000 0.500

---

NaInSn: optimized geometry, GGA-PBE.

Computed properties:
Formation energy ... 0.489 eV/atom
Symmetry ... No. 194

Unit cell a=5.494 b=5.494 c=10.964 alpha=90.00 beta=90.00 gamma=120.00
Fractional positions:
Na1 0.333 0.667 0.250
Na2 0.667 0.333 0.750
In1 0.000 0.000 0.250
In2 0.000 0.000 0.750
Sn1 0.000 0.000 0.000
Sn2 0.000 0.000 0.500